# 1
Computed, not measured: crystalline NaZrTlTe3 at its relaxed geometry at the GGA-PBE level of DFT.

Cell lengths 7.928, 7.928, 12.064 Å; angles 90.00, 90.00, 149.59 degrees
Positions (direct):
Na 0.401 0.599 0.250
Na 0.599 0.401 0.750
Te 0.365 0.635 0.014
Te 0.045 0.955 0.250
Te 0.365 0.635 0.486
Te 0.635 0.365 0.514
Te 0.955 0.045 0.750
Te 0.635 0.365 0.986
Tl 0.705 0.295 0.250
Tl 0.295 0.705 0.750
Zr 0.000 0.000 0.000
Zr 0.000 0.000 0.500

Calculated values
VASP energy, eV per cell: -51.2
Distance to the lowest polymorph of the same formula, meV per atom: 22.6

---

# 2
Computed, not measured: crystalline TbGdPbN at its relaxed geometry at the GGA-PBE level of DFT.

Cell lengths 3.575, 3.575, 15.778 Å; angles 90.00, 90.00, 120.00 degrees
Positions (direct):
Gd 0.667 0.333 0.166
Gd 0.667 0.333 0.834
N 0.000 0.000 0.251
N 0.000 0.000 0.749
Pb 0.333 0.667 0.000
Pb 0.667 0.333 0.500
Tb 0.333 0.667 0.333
Tb 0.333 0.667 0.667

Calculated values
VASP energy, eV per cell: -51.3

---

# 3
Computed, not measured: crystalline RbLuGeS3 at its relaxed geometry at the GGA-PBE level of DFT.

Cell lengths 8.119, 8.119, 11.102 Å; angles 90.00, 90.00, 152.61 degrees
Positions (direct):
Ge 0.895 0.105 0.250
Ge 0.105 0.895 0.750
Lu 0.500 0.500 0.000
Lu 0.500 0.500 0.500
Rb 0.201 0.799 0.250
Rb 0.799 0.201 0.750
S 0.885 0.115 0.013
S 0.496 0.504 0.250
S 0.885 0.115 0.487
S 0.115 0.885 0.513
S 0.504 0.496 0.750
S 0.115 0.885 0.987

Calculated values
VASP energy, eV per cell: -59.4
Distance to the lowest polymorph of the same formula, meV per atom: 142.6

---

# 4
Computed, not measured: crystalline HfAlBi at its relaxed geometry at the GGA-PBE level of DFT.

Cell lengths 4.859, 4.859, 4.859 Å; angles 60.00, 60.00, 60.00 degrees
Positions (direct):
Al 0.250 0.250 0.250
Bi 0.750 0.750 0.750
Hf 0.000 0.000 0.000

Calculated values
VASP energy, eV per cell: -16.6
Distance to the lowest polymorph of the same formula, meV per atom: 0.0

---

# 5
Computed, not measured: crystalline BeFeNiB at its relaxed geometry at the GGA-PBE level of DFT.

Cell lengths 3.715, 3.715, 3.715 Å; angles 60.00, 60.00, 60.00 degrees
Site moments in Bohr magnetons follow the coordinates.
Positions (direct):
B 0.250 0.250 0.250  -0.01
Be 0.500 0.500 0.500  -0.02
Fe 0.750 0.750 0.750  2.22
Ni 0.000 0.000 0.000  0.41

Calculated values
VASP energy, eV per cell: -23.4
Distance to the lowest polymorph of the same formula, meV per atom: 474.7

---

# 6
Computed, not measured: crystalline LiZrBiOs at its relaxed geometry at the GGA-PBE level of DFT.

Cell lengths 4.735, 4.735, 4.735 Å; angles 60.00, 60.00, 60.00 degrees
Positions (direct):
Bi 0.000 0.000 0.000
Li 0.750 0.750 0.750
Os 0.500 0.500 0.500
Zr 0.250 0.250 0.250

Calculated values
VASP energy, eV per cell: -25.4
Distance to the lowest polymorph of the same formula, meV per atom: 301.6

---

# 7
Computed, not measured: crystalline SmZrBe at its relaxed geometry at the GGA-PBE level of DFT.

Cell lengths 4.670, 4.670, 4.670 Å; angles 60.00, 60.00, 60.00 degrees
Positions (direct):
Be 0.250 0.250 0.250
Sm 0.000 0.000 0.000
Zr 0.750 0.750 0.750

Calculated values
VASP energy, eV per cell: -13.2

---

# 8
Computed, not measured: crystalline DyEr2Tm2Lu2Ni2Te2 at its relaxed geometry at the GGA-PBE level of DFT.

Cell lengths 9.263, 9.263, 9.263 Å; angles 156.07, 67.13, 118.34 degrees
Positions (direct):
Dy 0.000 0.000 0.000
Er 0.083 0.730 0.353
Er 0.376 0.730 0.647
Lu 0.691 0.377 0.315
Lu 0.062 0.377 0.685
Ni 0.305 0.069 0.236
Ni 0.833 0.069 0.764
Te 0.339 0.339 0.000
Te 0.733 0.233 0.500
Tm 0.717 0.582 0.135
Tm 0.448 0.582 0.865

Calculated values
VASP energy, eV per cell: -56.7
Distance to the lowest polymorph of the same formula, meV per atom: 0.0